{"formula": "HfTaMo2", "functional": "PBE", "state": "relaxed", "polymorph_energy_mev_per_atom": 1.2, "e_tot_ev_per_atom": -10.9656, "space_group": "Fm-3m", "crystal_system": "cubic", "magnetic_moment_mub_per_fu": 0.0, "delta_e_f_ev_per_atom": -0.10, "lattice_angstrom": [[-0.5299, -0.9521, 4.4966], [1.7883, 2.8331, 3.1909], [-2.7955, 2.6102, 2.6036]], "species": ["Mo", "Mo", "Hf", "Ta"], "fractional_positions": [[0.2500, 0.2500, 0.2500], [0.7500, 0.7500, 0.7500], [0.0000, 0.0000, 0.0000], [0.5000, 0.5000, 0.5000]]}